Record 1
The following is a DFT calculation (PBE) of Cs3TbDy3Se8 after structural relaxation.

Lattice parameters (Å, degrees): 8.3792 8.3871 9.8405 64.80 64.82 60.04
Last column: nearest neighbours and their distance in Å.
Space group P-1 (No. 2)
Unique sites:
Cs  0.0000  0.0000  0.0000 [1 per cell]  6 Se 3.63-3.64
Cs  0.0000  0.5000  0.0000 [1 per cell]  6 Se 3.63-3.64
Cs  0.5000  0.0000  0.0000 [1 per cell]  6 Se 3.62-3.64
Tb  0.0000  0.0000  0.5000 [1 per cell]  6 Se 2.90
Dy  0.0000  0.5000  0.5000 [1 per cell]  6 Se 2.88-2.90
Dy  0.5000  0.0000  0.5000 [1 per cell]  6 Se 2.88-2.90
Dy  0.5000  0.5000  0.5000 [1 per cell]  6 Se 2.89
Se  0.2284  0.2292  0.3160 [2 per cell]  2 Dy 2.88-2.89, 1 Tb 2.90
Se  0.2281  0.7265  0.3159 [2 per cell]  2 Dy 2.88-2.89, 1 Tb 2.90
Se  0.2727  0.2715  0.6852 [2 per cell]  3 Dy 2.89-2.90
Se  0.2739  0.7712  0.6843 [2 per cell]  2 Dy 2.88-2.89, 1 Tb 2.90

Computed properties:
DOS at the Fermi energy, states/eV/f.u.: 10.0
Energy relative to the elements, uncorrected, kJ/mol of formula units: -2423

Record 2
The following is a DFT calculation (PBE) of Cs3DyTh2Se6 after structural relaxation.

Lattice parameters (Å, degrees): 7.4303 12.8671 8.8307 90.00 106.30 90.00
Last column: nearest neighbours and their distance in Å.
Space group C2/m (No. 12)
Unique sites:
Cs  0.0000  0.0000  0.0000 [2 per cell]  6 Se 3.59-3.62
Cs  0.0000  0.3325  0.0000 [4 per cell]  6 Se 3.59-3.61
Dy  0.0000  0.5000  0.5000 [2 per cell]  6 Se 2.94
Th  0.0000  0.1665  0.5000 [4 per cell]  6 Se 2.98
Se  0.2285  0.3354  0.6917 [8 per cell]  1 Dy 2.94, 2 Th 2.98
Se  0.2350  0.0000  0.6923 [4 per cell]  1 Dy 2.94, 2 Th 2.98

Computed properties:
DOS at the Fermi energy, states/eV/f.u.: 7.0
Energy relative to the elements, uncorrected, kJ/mol of formula units: -1834

Record 3
The following is a DFT calculation (PBE) of Cs4Dy3ThSe8 after structural relaxation.

Lattice parameters (Å, degrees): 8.5514 8.5514 25.2351 90.00 90.00 120.00
Last column: nearest neighbours and their distance in Å.
Space group R-3m (No. 166, hexagonal axes)
Unique sites:
Cs  0.0000  0.0000  0.0000 [3 per cell]  6 Se 3.59
Cs  0.0000  0.5000  0.0000 [9 per cell]  6 Se 3.61-3.62
Dy  0.0000  0.5000  0.5000 [9 per cell]  6 Se 2.92
Th  0.0000  0.0000  0.5000 [3 per cell]  6 Se 2.95
Se  0.0000  0.0000  0.2283 [6 per cell]  3 Dy 2.92
Se  0.0026  0.5013  0.7706 [18 per cell]  2 Dy 2.92, 1 Th 2.95

Computed properties:
DOS at the Fermi energy, states/eV/f.u.: 4.8
Energy relative to the elements, uncorrected, kJ/mol of formula units: -2586

Record 4
The following is a DFT calculation (PBE) of Cs2Dy2TiSe6 after structural relaxation.

Lattice parameters (Å, degrees): 7.0286 12.0716 8.8994 90.00 106.19 90.00
Last column: nearest neighbours and their distance in Å.
Space group C2/m (No. 12)
Unique sites:
Cs  0.0000  0.1720  0.0000 [4 per cell]  6 Se 3.57-3.66, 2 Cs 3.99
Dy  0.0000  0.3326  0.5000 [4 per cell]  6 Se 2.87
Ti  0.0000  0.0000  0.5000 [2 per cell]  6 Se 2.63
Se  0.2181  0.1528  0.6791 [8 per cell]  1 Ti 2.63, 2 Dy 2.87
Se  0.2441  0.0000  0.3231 [4 per cell]  1 Ti 2.63, 2 Dy 2.87

Computed properties:
Energy relative to the elements, uncorrected, kJ/mol of formula units: -1637

Record 5
The following is a DFT calculation (PBE) of Cs4Dy3TiSe8 after structural relaxation.

Lattice parameters (Å, degrees): 8.3788 8.3788 25.0075 90.00 90.00 120.00
Last column: nearest neighbours and their distance in Å.
Space group R-3m (No. 166, hexagonal axes)
Unique sites:
Cs  0.0000  0.0000  0.0000 [3 per cell]  6 Se 3.69
Cs  0.0000  0.5000  0.0000 [9 per cell]  6 Se 3.55-3.56
Dy  0.0000  0.5000  0.5000 [9 per cell]  6 Se 2.88-2.90
Ti  0.0000  0.0000  0.5000 [3 per cell]  6 Se 2.74
Se  0.0000  0.0000  0.2292 [6 per cell]  3 Dy 2.88
Se  0.0175  0.5087  0.2267 [18 per cell]  1 Ti 2.74, 2 Dy 2.90

Computed properties:
DOS at the Fermi energy, states/eV/f.u.: 5.7
Energy relative to the elements, uncorrected, kJ/mol of formula units: -2390

Record 6
The following is a DFT calculation (PBE) of Cs2DyTmSe4 after structural relaxation.

Lattice parameters (Å, degrees): 7.3483 4.2430 8.7152 90.00 106.30 90.00
Last column: nearest neighbours and their distance in Å.
Space group P2/m (No. 10)
Unique sites:
Cs  0.0000  0.0000  0.0000 [1 per cell]  6 Se 3.61
Cs  0.5000  0.5000  0.0000 [1 per cell]  6 Se 3.59
Dy  0.0000  0.5000  0.5000 [1 per cell]  6 Se 2.91
Tm  0.5000  0.0000  0.5000 [1 per cell]  6 Se 2.88
Se  0.2309  0.0000  0.6849 [2 per cell]  1 Tm 2.88, 2 Dy 2.91
Se  0.2749  0.5000  0.3162 [2 per cell]  2 Tm 2.88, 1 Dy 2.91

Computed properties:
DOS at the Fermi energy, states/eV/f.u.: 0.0
Energy relative to the elements, uncorrected, kJ/mol of formula units: -1327

Record 7
The following is a DFT calculation (PBE) of Cs3Dy2TmSe6 after structural relaxation.

Lattice parameters (Å, degrees): 7.3617 12.7512 8.7211 90.00 106.34 90.00
Last column: nearest neighbours and their distance in Å.
Space group C2/m (No. 12)
Unique sites:
Cs  0.0000  0.0000  0.0000 [2 per cell]  6 Se 3.60-3.62
Cs  0.0000  0.3324  0.0000 [4 per cell]  6 Se 3.60-3.61
Dy  0.0000  0.1666  0.5000 [4 per cell]  6 Se 2.91
Tm  0.0000  0.5000  0.5000 [2 per cell]  6 Se 2.88
Se  0.2267  0.3349  0.6846 [8 per cell]  1 Tm 2.88, 2 Dy 2.91
Se  0.2314  0.0000  0.6850 [4 per cell]  1 Tm 2.88, 2 Dy 2.91

Computed properties:
DOS at the Fermi energy, states/eV/f.u.: 0.0
Energy relative to the elements, uncorrected, kJ/mol of formula units: -1994

Record 8
The following is a DFT calculation (PBE) of Cs4Dy3TmSe8 after structural relaxation.

Lattice parameters (Å, degrees): 8.5098 8.5098 25.1147 90.00 90.00 120.00
Last column: nearest neighbours and their distance in Å.
Space group R-3m (No. 166, hexagonal axes)
Unique sites:
Cs  0.0000  0.0000  0.0000 [3 per cell]  6 Se 3.62
Cs  0.0000  0.5000  0.0000 [9 per cell]  6 Se 3.60
Dy  0.0000  0.5000  0.5000 [9 per cell]  6 Se 2.91
Tm  0.0000  0.0000  0.5000 [3 per cell]  6 Se 2.89
Se  0.0000  0.0000  0.2285 [6 per cell]  3 Dy 2.91
Se  0.0027  0.5013  0.2282 [18 per cell]  1 Tm 2.89, 2 Dy 2.91

Computed properties:
DOS at the Fermi energy, states/eV/f.u.: 0.0
Energy relative to the elements, uncorrected, kJ/mol of formula units: -2660

Record 9
The following is a DFT calculation (PBE) of Cs3DyTm2Se6 after structural relaxation.

Lattice parameters (Å, degrees): 7.3339 12.7024 8.7142 90.00 106.29 90.00
Last column: nearest neighbours and their distance in Å.
Space group C2/m (No. 12)
Unique sites:
Cs  0.0000  0.0000  0.0000 [2 per cell]  6 Se 3.59-3.61
Cs  0.0000  0.3339  0.0000 [4 per cell]  6 Se 3.59-3.61
Dy  0.0000  0.5000  0.5000 [2 per cell]  6 Se 2.91
Tm  0.0000  0.1667  0.5000 [4 per cell]  6 Se 2.88
Se  0.2249  0.0000  0.6838 [4 per cell]  2 Tm 2.88, 1 Dy 2.91
Se  0.2295  0.3318  0.6841 [8 per cell]  2 Tm 2.88, 1 Dy 2.91

Computed properties:
DOS at the Fermi energy, states/eV/f.u.: 0.0
Energy relative to the elements, uncorrected, kJ/mol of formula units: -1987

Record 10
The following is a DFT calculation (PBE) of Cs3Dy2USe6 after structural relaxation.

Lattice parameters (Å, degrees): 7.4311 12.8690 8.7485 90.00 106.44 90.00
Last column: nearest neighbours and their distance in Å.
Space group C2/m (No. 12)
Unique sites:
Cs  0.0000  0.0000  0.0000 [2 per cell]  6 Se 3.60-3.62
Cs  0.0000  0.3330  0.0000 [4 per cell]  6 Se 3.60-3.63
Dy  0.0000  0.1666  0.5000 [4 per cell]  6 Se 2.92
U  0.0000  0.5000  0.5000 [2 per cell]  6 Se 2.95
Se  0.2255  0.0000  0.6864 [4 per cell]  2 Dy 2.92, 1 U 2.95
Se  0.2303  0.3317  0.6862 [8 per cell]  2 Dy 2.92, 1 U 2.95

Computed properties:
DOS at the Fermi energy, states/eV/f.u.: 10.6
Energy relative to the elements, uncorrected, kJ/mol of formula units: -1777

Record 11
The following is a DFT calculation (PBE) of Cs4DyU3Se8 after structural relaxation.

Lattice parameters (Å, degrees): 8.5422 8.5422 25.2897 90.00 90.00 120.00
Last column: nearest neighbours and their distance in Å.
Space group R-3m (No. 166, hexagonal axes)
Unique sites:
Cs  0.0000  0.0000  0.0000 [3 per cell]  6 Se 3.62
Cs  0.0000  0.5000  0.0000 [9 per cell]  6 Se 3.61
Dy  0.0000  0.0000  0.5000 [3 per cell]  6 Se 2.91
U  0.0000  0.5000  0.5000 [9 per cell]  6 Se 2.93
Se  0.0000  0.0000  0.2292 [6 per cell]  3 U 2.93
Se  0.0021  0.5010  0.2290 [18 per cell]  1 Dy 2.91, 2 U 2.93

Computed properties:
DOS at the Fermi energy, states/eV/f.u.: 18.8
Energy relative to the elements, uncorrected, kJ/mol of formula units: -2042

Record 12
The following is a DFT calculation (PBE) of Cs2DyUSe6 after structural relaxation.

Lattice parameters (Å, degrees): 7.8090 11.0439 7.8095 90.00 90.00 90.00
Last column: nearest neighbours and their distance in Å.
Space group Pmmn (No. 59, origin choice 2)
Unique sites:
Cs  0.2500  0.0001  0.2500 [4 per cell]  12 Se 3.90-3.91
Dy  0.2500  0.2500  0.7493 [2 per cell]  6 Se 2.84
U  0.2500  0.7500  0.7506 [2 per cell]  6 Se 2.68-2.69
Se  0.0068  0.7500  0.5076 [4 per cell]  1 U 2.69, 1 Dy 2.84
Se  0.0069  0.7500  0.9938 [4 per cell]  1 U 2.68, 1 Dy 2.84
Se  0.2500  0.5069  0.7504 [4 per cell]  1 U 2.68, 1 Dy 2.84

Computed properties:
DOS at the Fermi energy, states/eV/f.u.: 6.2
Energy relative to the elements, uncorrected, kJ/mol of formula units: -1214

Record 13
The following is a DFT calculation (PBE) of Cs3DyU3Se8 after structural relaxation.

Lattice parameters (Å, degrees): 8.4355 8.4355 25.6614 90.00 90.00 120.00
Last column: nearest neighbours and their distance in Å.
Space group R-3m (No. 166, hexagonal axes)
Unique sites:
Cs  0.0000  0.5000  0.0000 [9 per cell]  6 Se 3.62-3.64
Dy  0.0000  0.0000  0.5000 [3 per cell]  6 Se 2.90
U  0.0000  0.5000  0.5000 [9 per cell]  6 Se 2.90-2.91
Se  0.0000  0.0000  0.2288 [6 per cell]  3 U 2.91
Se  0.9995  0.4998  0.2279 [18 per cell]  2 U 2.90, 1 Dy 2.90

Computed properties:
DOS at the Fermi energy, states/eV/f.u.: 17.5
Energy relative to the elements, uncorrected, kJ/mol of formula units: -1973

Record 14
The following is a DFT calculation (PBE) of Cs2DyUSe4 after structural relaxation.

Lattice parameters (Å, degrees): 7.4136 4.2794 8.7576 90.00 106.38 90.00
Last column: nearest neighbours and their distance in Å.
Space group P2/m (No. 10)
Unique sites:
Cs  0.0000  0.0000  0.0000 [1 per cell]  6 Se 3.60-3.61
Cs  0.5000  0.5000  0.0000 [1 per cell]  6 Se 3.62
Dy  0.0000  0.5000  0.5000 [1 per cell]  6 Se 2.92
U  0.5000  0.0000  0.5000 [1 per cell]  6 Se 2.93-2.94
Se  0.2266  0.0000  0.6862 [2 per cell]  2 Dy 2.92, 1 U 2.94
Se  0.2693  0.5000  0.3132 [2 per cell]  1 Dy 2.92, 2 U 2.93

Computed properties:
DOS at the Fermi energy, states/eV/f.u.: 7.7
Energy relative to the elements, uncorrected, kJ/mol of formula units: -1118

Record 15
The following is a DFT calculation (PBE) of Cs2DyYSe4 after structural relaxation.

Lattice parameters (Å, degrees): 7.3935 4.2692 8.7262 90.00 106.40 90.00
Last column: nearest neighbours and their distance in Å.
Space group P2/m (No. 10)
Unique sites:
Cs  0.0000  0.0000  0.0000 [1 per cell]  6 Se 3.60
Cs  0.5000  0.5000  0.0000 [1 per cell]  6 Se 3.61
Dy  0.0000  0.5000  0.5000 [1 per cell]  6 Se 2.91
Y  0.5000  0.0000  0.5000 [1 per cell]  6 Se 2.92
Se  0.2281  0.0000  0.6856 [2 per cell]  2 Dy 2.91, 1 Y 2.92
Se  0.2710  0.5000  0.3142 [2 per cell]  1 Dy 2.91, 2 Y 2.92

Computed properties:
DOS at the Fermi energy, states/eV/f.u.: 0.0
Energy relative to the elements, uncorrected, kJ/mol of formula units: -1337

Record 16
The following is a DFT calculation (PBE) of Cs3Dy2YSe6 after structural relaxation.

Lattice parameters (Å, degrees): 7.3922 12.8036 8.7292 90.00 106.39 90.00
Last column: nearest neighbours and their distance in Å.
Space group C2/m (No. 12)
Unique sites:
Cs  0.0000  0.0000  0.0000 [2 per cell]  6 Se 3.60-3.61
Cs  0.0000  0.3333  0.0000 [4 per cell]  6 Se 3.60-3.61
Dy  0.0000  0.1667  0.5000 [4 per cell]  6 Se 2.91
Y  0.0000  0.5000  0.5000 [2 per cell]  6 Se 2.92
Se  0.2281  0.0000  0.6856 [4 per cell]  2 Dy 2.91, 1 Y 2.92
Se  0.2288  0.3331  0.6856 [8 per cell]  2 Dy 2.91, 1 Y 2.92

Computed properties:
DOS at the Fermi energy, states/eV/f.u.: 0.0
Energy relative to the elements, uncorrected, kJ/mol of formula units: -2004

Record 17
The following is a DFT calculation (PBE) of Cs4Dy3YSe8 after structural relaxation.

Lattice parameters (Å, degrees): 8.5364 8.5364 25.1232 90.00 90.00 120.00
Last column: nearest neighbours and their distance in Å.
Space group R-3m (No. 166, hexagonal axes)
Unique sites:
Cs  0.0000  0.0000  0.0000 [3 per cell]  6 Se 3.60
Cs  0.0000  0.5000  0.0000 [9 per cell]  6 Se 3.61
Dy  0.0000  0.5000  0.5000 [9 per cell]  6 Se 2.91
Y  0.0000  0.0000  0.5000 [3 per cell]  6 Se 2.92
Se  0.0000  0.0000  0.2284 [6 per cell]  3 Dy 2.91
Se  0.0005  0.5003  0.7715 [18 per cell]  2 Dy 2.91, 1 Y 2.92

Computed properties:
DOS at the Fermi energy, states/eV/f.u.: 0.0
Energy relative to the elements, uncorrected, kJ/mol of formula units: -2671

Record 18
The following is a DFT calculation (PBE) of CsDyZnSe3 after structural relaxation.

Lattice parameters (Å, degrees): 9.7315 4.1868 10.3043 90.00 111.83 90.00
Last column: nearest neighbours and their distance in Å.
Space group P2_1/m (No. 11)
Unique sites:
Cs  0.2169  0.2500  0.2437 [2 per cell]  7 Se 3.64-3.82
Dy  0.3312  0.7500  0.8623 [2 per cell]  6 Se 2.82-3.04
Zn  0.0831  0.2500  0.6105 [2 per cell]  4 Se 2.44-2.56
Se  0.1232  0.2500  0.8585 [2 per cell]  1 Zn 2.44
Se  0.1927  0.7500  0.5445 [2 per cell]  3 Zn 2.55-2.56
Se  0.4757  0.7500  0.1560 [2 per cell]  3 Dy 2.82-2.87

Computed properties:
DOS at the Fermi energy, states/eV/f.u.: 0.0
Energy relative to the elements, uncorrected, kJ/mol of formula units: -812

Record 19
The following is a DFT calculation (PBE) of CsDyZnSe3 after structural relaxation.

Lattice parameters (Å, degrees): 4.1794 16.2904 11.0191 90.00 90.00 90.00
Last column: nearest neighbours and their distance in Å.
Space group Cmcm (No. 63)
Unique sites:
Cs  0.0000  0.2438  0.2500 [4 per cell]  8 Se 3.71-4.00, 2 Zn 4.13
Dy  0.0000  0.5000  0.0000 [4 per cell]  6 Se 2.89-2.90
Zn  0.0000  0.0373  0.7500 [4 per cell]  4 Se 2.46-2.58
Se  0.0000  0.1156  0.5595 [8 per cell]  1 Zn 2.46
Se  0.0000  0.4442  0.7500 [4 per cell]  2 Zn 2.58

Computed properties:
DOS at the Fermi energy, states/eV/f.u.: 0.0
Energy relative to the elements, uncorrected, kJ/mol of formula units: -826

no.,V (Å³ per atom),total magnetization (Bohr magnetons per cell)
1,34.78,0.0
2,33.76,0.0
3,33.30,0.0
4,32.96,0.0
5,31.68,3.0
6,32.60,0.0
7,32.73,0.0
8,32.81,0.0
9,32.47,0.0
10,33.43,5.9
11,33.29,27.0
12,33.68,0.0
13,35.14,24.0
14,33.32,3.0
15,33.03,0.0
16,33.02,0.0
17,33.03,0.0
18,32.48,0.0
19,31.26,0.0